[1]
# Sm4CoIrBr2 PBE-GGA relaxed
data_Sm4CoIrBr2
_cell_length_a 6.991
_cell_length_b 4.033
_cell_length_c 8.060
_cell_angle_alpha 90.00
_cell_angle_beta 106.62
_cell_angle_gamma 90.00
_symmetry_space_group_name_H-M 'P 1 2/m 1'
_symmetry_Int_Tables_number 10
_symmetry_space_group_name_Hall '-P 2y'
loop_
_atom_site_label
_atom_site_type_symbol
_atom_site_fract_x
_atom_site_fract_y
_atom_site_fract_z
Sm1 Sm 0.221 0.000 0.191
Sm2 Sm 0.262 0.500 0.805
Co1 Co 0.000 0.500 0.000
Ir1 Ir 0.500 0.000 0.000
Br1 Br 0.000 0.000 0.500
Br2 Br 0.500 0.500 0.500
# Uncorrected formation energy in meV per atom: -914
# DOS at the Fermi energy in states/eV/atom: 0.2127
# E_tot in eV/atom: -5.688

[2]
# Tc2AsW PBE-GGA relaxed
data_Tc2AsW
_cell_length_a 3.038
_cell_length_b 4.421
_cell_length_c 8.861
_cell_angle_alpha 90.00
_cell_angle_beta 90.00
_cell_angle_gamma 90.00
_symmetry_space_group_name_H-M 'I m m 2'
_symmetry_Int_Tables_number 44
_symmetry_space_group_name_Hall 'I 2 -2'
loop_
_atom_site_label
_atom_site_type_symbol
_atom_site_fract_x
_atom_site_fract_y
_atom_site_fract_z
Tc1 Tc 0.000 0.000 0.000
Tc2 Tc 0.000 0.500 0.233
As1 As 0.000 0.000 0.505
W1 W 0.000 0.500 0.770
# Formation energy in meV per atom: 70.8
# DOS at the Fermi energy in states/eV/atom: 0.6619
# E_tot in eV/atom: -9.513

[3]
# VZn3N PBE-GGA relaxed
data_VZn3N
_cell_length_a 4.170
_cell_length_b 4.170
_cell_length_c 4.170
_cell_angle_alpha 90.00
_cell_angle_beta 90.00
_cell_angle_gamma 90.00
_symmetry_space_group_name_H-M 'P m -3 m'
_symmetry_Int_Tables_number 221
_symmetry_space_group_name_Hall '-P 4 2 3'
loop_
_atom_site_label
_atom_site_type_symbol
_atom_site_fract_x
_atom_site_fract_y
_atom_site_fract_z
V1 V 0.000 0.000 0.000
Zn1 Zn 0.000 0.500 0.500
N1 N 0.500 0.500 0.500
# Uncorrected formation energy in meV per atom: 666
# DOS at the Fermi energy in states/eV/atom: 0.7165
# Relative energy among the computed polymorphs in eV per atom: 0.000
# E_tot in eV/atom: -3.587